Below is an optimized crystal structure of PbAu2Br, with properties calculated at the PBE level.

Summary:
- space-group type = Imm2 (44)
- density (Mg/m³) = 10.3
- raw formation energy (eV/atom) = 0.00
- crystal system = orthorhombic
- VASP energy (eV per atom) = -2.9890
- offset from the most stable computed form (eV/atom) = 0.115

Unit cell a=5.5655 b=5.5655 c=5.5655 alpha=133.53 beta=113.54 gamma=84.95
Last column: nearest neighbours and their distance in Å.
Fractional coordinates of all 4 atoms:
Br: 0.4423 0.4423 0.0000  2 Au 2.85
Pb: 0.8120 0.3120 0.5000  2 Au 2.81
Au: 0.2202 0.7202 0.5000  2 Au 2.72, 2 Br 2.85
Au: 0.0255 0.0255 0.0000  2 Au 2.72, 2 Pb 2.81